Entry 1:
This record from the Alexandria database describes crystalline NbV3W at its relaxed geometry. The functional is PBE.

Lattice parameters (Å, degrees): 4.5424 4.5424 4.5424 90.00 90.00 90.00
Space group Pm-3m (No. 221)
Symmetry-distinct sites (fractional):
Nb1 0.0000 0.0000 0.0000 x1
V1 0.0000 0.5000 0.5000 x3
W1 0.5000 0.5000 0.5000 x1

Output
- ρ (g/cm3) = 7.6
- E (eV per formula unit) = -43.6

Entry 2:
This record from the Alexandria database describes crystalline NaTl2ZnCl5 at its relaxed geometry. The functional is PBE.

Lattice parameters (Å, degrees): 4.0248 19.2913 13.6909 90.00 90.00 90.00
Space group Cmc2_1 (No. 36)
Symmetry-distinct sites (fractional):
Na1 0.0000 0.2037 0.0000 x4
Tl1 0.0000 0.1334 0.6382 x4
Tl2 0.0000 0.1376 0.2913 x4
Zn1 0.0000 0.4418 0.3871 x4
Cl1 0.0000 0.0400 0.9783 x4
Cl2 0.0000 0.2933 0.6377 x4
Cl3 0.0000 0.3254 0.3570 x4
Cl4 0.0000 0.3454 0.9746 x4
Cl5 0.0000 0.4958 0.7495 x4

Output
- ρ (g/cm3) = 4.2
- E (eV per formula unit) = -27.7

Entry 3:
This record from the Alexandria database describes crystalline HfSb3As at its relaxed geometry. The functional is PBE.

Lattice parameters (Å, degrees): 5.2298 5.2298 5.2298 90.00 90.00 90.00
Space group Pm-3m (No. 221)
Symmetry-distinct sites (fractional):
Hf1 0.0000 0.0000 0.0000 x1
Sb1 0.0000 0.5000 0.5000 x3
As1 0.5000 0.5000 0.5000 x1

Output
- ρ (g/cm3) = 7.2
- E (eV per formula unit) = -23.1

Entry 4:
This record from the Alexandria database describes crystalline Li4Mo3WN8 at its relaxed geometry. The functional is PBE.

Lattice parameters (Å, degrees): 5.9376 5.9376 15.5442 90.00 90.00 120.00
Space group R-3m (No. 166, hexagonal axes)
Symmetry-distinct sites (fractional):
Li1 0.0000 0.0000 0.0000 x3
Li2 0.0000 0.5000 0.0000 x9
Mo1 0.0000 0.5000 0.5000 x9
W1 0.0000 0.0000 0.5000 x3
N1 0.0000 0.0000 0.2435 x6
N2 0.0038 0.5019 0.2434 x18

Output
- ρ (g/cm3) = 6.4
- E (eV per formula unit) = -127.2

Entry 5:
This record from the Alexandria database describes crystalline Pr6In2RuO at its relaxed geometry. The functional is PBE.

Lattice parameters (Å, degrees): 7.5047 7.5047 10.6043 90.00 90.00 90.00
Space group I4/mmm (No. 139)
Symmetry-distinct sites (fractional):
Pr1 0.0000 0.0000 0.2402 x4
Pr2 0.2409 0.2409 0.0000 x8
In1 0.0000 0.5000 0.2500 x4
Ru1 0.0000 0.0000 0.5000 x2
O1 0.0000 0.0000 0.0000 x2

Output
- ρ (g/cm3) = 6.6
- E (eV per formula unit) = -55.2

Entry 6:
This record from the Alexandria database describes crystalline ZrTl2Br at its relaxed geometry. The functional is PBE.

Lattice parameters (Å, degrees): 3.4521 3.4521 33.0433 90.00 90.00 120.00
Space group R3m (No. 160, hexagonal axes)
Symmetry-distinct sites (fractional):
Zr1 0.0000 0.0000 0.0000 x3
Tl1 0.0000 0.0000 0.2591 x3
Tl2 0.0000 0.0000 0.5081 x3
Br1 0.0000 0.0000 0.7242 x3

Output
- ρ (g/cm3) = 8.5
- E (eV per formula unit) = -16.5

Entry 7:
This record from the Alexandria database describes crystalline CdFe4Rh at its relaxed geometry. The functional is PBE.

Lattice parameters (Å, degrees): 6.8648 6.8648 6.8648 90.00 90.00 90.00
Space group F-43m (No. 216)
Symmetry-distinct sites (fractional):
Cd1 0.0000 0.0000 0.0000 x4
Fe1 0.1252 0.1252 0.6252 x16
Rh1 0.2500 0.2500 0.2500 x4

Output
- ρ (g/cm3) = 9.0
- E (eV per formula unit) = -41.5

Entry 8:
This record from the Alexandria database describes crystalline CaGdGaPd at its relaxed geometry. The functional is PBE.

Lattice parameters (Å, degrees): 7.1746 7.1746 7.1746 90.00 90.00 90.00
Space group F-43m (No. 216)
Symmetry-distinct sites (fractional):
Ca1 0.0000 0.0000 0.0000 x4
Gd1 0.0000 0.0000 0.5000 x4
Ga1 0.2500 0.2500 0.2500 x4
Pd1 0.2500 0.2500 0.7500 x4

Output
- ρ (g/cm3) = 6.7
- E (eV per formula unit) = -26.7

Entry 9:
This record from the Alexandria database describes crystalline Ga3NiRh at its relaxed geometry. The functional is PBE.

Lattice parameters (Å, degrees): 4.7028 4.7028 4.7028 90.00 90.00 90.00
Space group Pm-3m (No. 221)
Symmetry-distinct sites (fractional):
Ga1 0.0000 0.0000 0.5000 x3
Ni1 0.5000 0.5000 0.5000 x1
Rh1 0.0000 0.0000 0.0000 x1

Output
- ρ (g/cm3) = 5.9
- E (eV per formula unit) = -20.8

Entry 10:
This record from the Alexandria database describes crystalline Tb2CeSi6 at its relaxed geometry. The functional is PBE.

Lattice parameters (Å, degrees): 7.0734 7.0734 4.0214 90.00 90.00 120.00
Space group P6/mmm (No. 191)
Symmetry-distinct sites (fractional):
Tb1 0.3333 0.6667 0.0000 x2
Ce1 0.0000 0.0000 0.0000 x1
Si1 0.0000 0.3340 0.5000 x6

Output
- ρ (g/cm3) = 6.0
- E (eV per formula unit) = -53.1

Entry 11:
This record from the Alexandria database describes crystalline CaLaBiAu at its relaxed geometry. The functional is PBE.

Lattice parameters (Å, degrees): 7.7427 7.7427 7.7427 90.00 90.00 90.00
Space group F-43m (No. 216)
Symmetry-distinct sites (fractional):
Ca1 0.0000 0.0000 0.0000 x4
La1 0.0000 0.0000 0.5000 x4
Bi1 0.2500 0.2500 0.7500 x4
Au1 0.2500 0.2500 0.2500 x4

Output
- ρ (g/cm3) = 8.4
- E (eV per formula unit) = -17.3

Entry 12:
This record from the Alexandria database describes crystalline AgOsS2Cl at its relaxed geometry. The functional is PBE.

Lattice parameters (Å, degrees): 4.8656 4.8656 4.7499 90.00 90.00 90.00
Space group P4/mmm (No. 123)
Symmetry-distinct sites (fractional):
Ag1 0.0000 0.0000 0.0000 x1
Os1 0.5000 0.5000 0.5000 x1
S1 0.0000 0.5000 0.0000 x2
Cl1 0.0000 0.0000 0.5000 x1

Output
- ρ (g/cm3) = 5.9
- E (eV per formula unit) = -16.4

Entry 13:
This record from the Alexandria database describes crystalline Na4Pr3HfTe8 at its relaxed geometry. The functional is PBE.

Lattice parameters (Å, degrees): 8.9127 8.9127 22.8482 90.00 90.00 120.00
Space group R-3m (No. 166, hexagonal axes)
Symmetry-distinct sites (fractional):
Na1 0.0000 0.0000 0.0000 x3
Na2 0.0000 0.5000 0.0000 x9
Pr1 0.0000 0.5000 0.5000 x9
Hf1 0.0000 0.0000 0.5000 x3
Te1 0.0000 0.0000 0.2490 x6
Te2 0.0237 0.5118 0.2441 x18

Output
- ρ (g/cm3) = 5.4
- E (eV per formula unit) = -73.6

Entry 14:
This record from the Alexandria database describes crystalline Bi3AsSe2 at its relaxed geometry. The functional is PBE.

Lattice parameters (Å, degrees): 6.9974 13.7197 7.6785 90.00 112.90 90.00
Space group C2/c (No. 15)
Symmetry-distinct sites (fractional):
Bi1 0.2374 0.0786 0.4979 x8
Bi2 0.2500 0.2500 0.0000 x4
As1 0.0000 0.0832 0.7500 x4
Se1 0.0000 0.2468 0.2500 x4
Se2 0.0000 0.4159 0.7500 x4

Output
- ρ (g/cm3) = 8.4
- E (eV per formula unit) = -24.0

Entry 15:
This record from the Alexandria database describes crystalline DyPuGaRu at its relaxed geometry. The functional is PBE.

Lattice parameters (Å, degrees): 6.9645 6.9645 6.9645 90.00 90.00 90.00
Space group F-43m (No. 216)
Symmetry-distinct sites (fractional):
Dy1 0.0000 0.0000 0.0000 x4
Pu1 0.0000 0.0000 0.5000 x4
Ga1 0.2500 0.2500 0.2500 x4
Ru1 0.2500 0.2500 0.7500 x4

Output
- ρ (g/cm3) = 11.4
- E (eV per formula unit) = -32.3

Entry 16:
This record from the Alexandria database describes crystalline Rb2PbO4 at its relaxed geometry. The functional is PBE.

Lattice parameters (Å, degrees): 5.9744 3.5036 7.1315 90.00 112.09 90.00
Space group P2/m (No. 10)
Symmetry-distinct sites (fractional):
Rb1 0.1814 0.0000 0.3381 x2
Pb1 0.5000 0.5000 0.0000 x1
O1 0.0721 0.5000 0.9386 x2
O2 0.4078 0.0000 0.7786 x2

Output
- ρ (g/cm3) = 5.3
- E (eV per formula unit) = -31.7

Entry 17:
This record from the Alexandria database describes crystalline BaCu2Mo at its relaxed geometry. The functional is PBE.

Lattice parameters (Å, degrees): 3.3390 3.3390 25.8551 90.00 90.00 120.00
Space group R-3m (No. 166, hexagonal axes)
Symmetry-distinct sites (fractional):
Ba1 0.0000 0.0000 0.0000 x3
Cu1 0.0000 0.0000 0.2310 x6
Mo1 0.0000 0.0000 0.5000 x3

Output
- ρ (g/cm3) = 7.2
- E (eV per formula unit) = -17.4

Entry 18:
This record from the Alexandria database describes crystalline CsCrSi2Te8 at its relaxed geometry. The functional is PBE.

Lattice parameters (Å, degrees): 6.9648 6.9648 26.8918 90.00 90.00 120.00
Space group R-3 (No. 148, hexagonal axes)
Symmetry-distinct sites (fractional):
Cs1 0.0000 0.0000 0.0000 x3
Cr1 0.0000 0.0000 0.5000 x3
Si1 0.0000 0.0000 0.2512 x6
Te1 0.0000 0.0000 0.3453 x6
Te2 0.0063 0.3206 0.1170 x18

Output
- ρ (g/cm3) = 5.6
- E (eV per formula unit) = -48.0

Entry 19:
This record from the Alexandria database describes crystalline PmSi2Rh6 at its relaxed geometry. The functional is PBE.

Lattice parameters (Å, degrees): 10.9584 10.9584 10.9584 90.00 90.00 90.00
Space group Fd-3m (No. 227, origin choice 2)
Symmetry-distinct sites (fractional):
Pm1 0.1250 0.1250 0.1250 x8
Si1 0.0000 0.0000 0.5000 x16
Rh1 0.1202 0.3750 0.8750 x48

Output
- ρ (g/cm3) = 8.3
- E (eV per formula unit) = -61.3

Entry 20:
This record from the Alexandria database describes crystalline Mn2ZnCuN at its relaxed geometry. The functional is PBE.

Lattice parameters (Å, degrees): 3.7804 3.7804 3.9911 90.00 90.00 90.00
Space group P4/mmm (No. 123)
Symmetry-distinct sites (fractional):
Mn1 0.0000 0.5000 0.0000 x2
Zn1 0.0000 0.0000 0.5000 x1
Cu1 0.5000 0.5000 0.5000 x1
N1 0.5000 0.5000 0.0000 x1

Output
- ρ (g/cm3) = 7.4
- E (eV per formula unit) = -32.4

| no. | magnetization (μB/atom) |
| --- | --- |
| 1 | 0.18 |
| 2 | 0.00 |
| 3 | 0.00 |
| 4 | 0.00 |
| 5 | 0.00 |
| 6 | 0.00 |
| 7 | 1.73 |
| 8 | 1.78 |
| 9 | 0.11 |
| 10 | 0.00 |
| 11 | 0.00 |
| 12 | 0.91 |
| 13 | 0.00 |
| 14 | 0.00 |
| 15 | 1.24 |
| 16 | 0.03 |
| 17 | 0.00 |
| 18 | 0.14 |
| 19 | 0.00 |
| 20 | 0.77 |